No. 1
# GGA-PBE PAuO2F, relaxed
# formation energy from raw total energies: 3.09 eV/f.u.
# energy: -17.38 eV per formula unit
data_PAuO2F
_cell_length_a 3.880
_cell_length_b 3.880
_cell_length_c 5.302
_cell_angle_alpha 90.00
_cell_angle_beta 90.00
_cell_angle_gamma 90.00
_space_group_name_H-M_alt 'P 4/m m m'
_space_group_IT_number 123
_space_group_name_Hall '-P 4 2'
loop_
_atom_site_label
_atom_site_type_symbol
_atom_site_fract_x
_atom_site_fract_y
_atom_site_fract_z
_atom_site_occupancy
P1 P 0.000 0.000 0.000 1
Au1 Au 0.000 0.000 0.500 1
O1 O 0.000 0.500 0.500 1
F1 F 0.500 0.500 0.000 1

---

No. 2
# GGA-PBE Li5Al12Co3, relaxed
# energy: -68.62 eV per formula unit
# DFT formation energy: 0.359 eV per atom
data_Li5Al12Co3
_cell_length_a 14.791
_cell_length_b 14.791
_cell_length_c 14.791
_cell_angle_alpha 90.00
_cell_angle_beta 90.00
_cell_angle_gamma 90.00
_space_group_name_H-M_alt 'I a -3 d'
_space_group_IT_number 230
_space_group_name_Hall '-I 4bd 2c 3'
loop_
_atom_site_label
_atom_site_type_symbol
_atom_site_fract_x
_atom_site_fract_y
_atom_site_fract_z
_atom_site_occupancy
Li1 Li 0.000 0.000 0.000 1
Li2 Li 0.000 0.250 0.375 1
Al1 Al 0.006 0.091 0.644 1
Co1 Co 0.000 0.250 0.125 1

---

No. 3
# GGA-PBE Rb2HoCl5, relaxed
# E above lowest polymorph: 0.08 kcal/mol of atoms
# formation energy from raw total energies: -17.29 eV/f.u.
# energy: -33.04 eV per formula unit
data_Rb2HoCl5
_cell_length_a 13.326
_cell_length_b 8.769
_cell_length_c 8.357
_cell_angle_alpha 90.00
_cell_angle_beta 90.00
_cell_angle_gamma 90.00
_space_group_name_H-M_alt 'P n m a'
_space_group_IT_number 62
loop_
_space_group_symop_operation_xyz
'x,y,z'
'-x,-y,-z'
'-x+1/2,-y,z+1/2'
'x+1/2,y,-z+1/2'
'x+1/2,-y+1/2,-z+1/2'
'-x+1/2,y+1/2,z+1/2'
'-x,y+1/2,-z'
'x,-y+1/2,z'
loop_
_atom_site_label
_atom_site_type_symbol
_atom_site_fract_x
_atom_site_fract_y
_atom_site_fract_z
_atom_site_occupancy
Rb1 Rb 0.170 0.008 0.070 1
Ho1 Ho 0.005 0.250 0.568 1
Cl1 Cl 0.016 0.250 0.891 1
Cl2 Cl 0.061 0.545 0.661 1
Cl3 Cl 0.176 0.250 0.406 1
Cl4 Cl 0.190 0.750 0.360 1

---

- energy of number 3 (Rb2HoCl5)?
  -33.04 eV per formula unit

---

- Which value of energy does entry 3 give?
  -33.04 eV per formula unit

---

- energy of number 3 (Rb2HoCl5)?
  -33.04 eV per formula unit

---

- Look up the energy of the first one.
  -17.38 eV per formula unit